## BeGaPb2 (PBE)

Data for a relaxed BeGaPb2 crystal.

The structure in POSCAR format:
```
BeGaPb2
1.0
5.274 0.000 0.000
0.000 5.274 0.000
2.637 2.637 7.739
Pb Be Ga
4 2 2
Direct
0.573 0.125 0.250 Pb
0.177 0.625 0.250 Pb
0.375 0.427 0.750 Pb
0.875 0.823 0.750 Pb
0.500 0.500 0.000 Be
0.250 0.750 0.500 Be
0.000 0.000 0.000 Ga
0.750 0.250 0.500 Ga
```

Computed properties:
Density of states at the Fermi level: 0.4373 states/eV/atom
Space group: I-42d, No. 122
Calculated total energy: -3.076 eV per atom
ΔH_f (0 K): 0.466 eV/atom